No. 1
BaHf2Al | PBE | optimized geometry

```
8
Lattice="-1.0972 -0.6640 -4.3198 -2.4084 -3.6248 1.1689 -10.3335 3.9572 -0.3339" Properties=species:S:1:pos:R:3 pbc="T T T"
Hf -10.7538 -0.6888 -3.0384
Hf -4.2548 -1.3768 -0.0073
Hf -9.1285 1.2636 -1.4011
Hf -3.5411 0.1388 -2.5229
Ba 0.0000 0.0000 0.0000
Ba -6.5918 0.5744 -3.1146
Al -1.7528 -2.1444 -1.5755
Al -7.2474 -0.9060 -0.3702
```

Output
- energy above the lowest structure with this stoichiometry (meV per atom) = 91
- DOS(E_F) (states/eV/atom) = 1.207
- calculated volume (Å³/cell) = 215
- uncorrected energy (eV per atom) = -5.680
- energy relative to the elements (meV per atom) = 713



No. 2
BaHfAl3 | PBE | optimized geometry

```
5
Lattice="5.3389 0.0000 0.0000 0.0000 5.3389 0.0000 0.0000 0.0000 5.3389" Properties=species:S:1:pos:R:3 pbc="T T T"
Ba 2.6694 2.6694 2.6694
Hf 0.0000 0.0000 0.0000
Al 2.6694 0.0000 0.0000
Al 0.0000 2.6694 0.0000
Al 0.0000 0.0000 2.6694
```

Output
- energy above the lowest structure with this stoichiometry (meV per atom) = 0
- DOS(E_F) (states/eV/atom) = 0.905
- calculated volume (Å³/cell) = 152
- uncorrected energy (eV per atom) = -4.363
- energy relative to the elements (meV per atom) = 258



No. 3
BaHf3Al | PBE | optimized geometry

```
5
Lattice="5.2289 0.0000 0.0000 0.0000 5.2289 0.0000 0.0000 0.0000 5.2289" Properties=species:S:1:pos:R:3 pbc="T T T"
Hf 2.6144 0.0000 0.0000
Hf 0.0000 2.6144 0.0000
Hf 0.0000 0.0000 2.6144
Ba 2.6144 2.6144 2.6144
Al 0.0000 0.0000 0.0000
```

Output
- energy above the lowest structure with this stoichiometry (meV per atom) = 0
- DOS(E_F) (states/eV/atom) = 2.030
- calculated volume (Å³/cell) = 143
- uncorrected energy (eV per atom) = -6.292
- energy relative to the elements (meV per atom) = 813